(1)
## Si2PW (PBE)

Data for an optimized crystal structure of Si2PW.

Results
Its final energy is -6.8969 eV per atom. As for the crystal system: orthorhombic. For the formation energy (no corrections), the calculation gives 0.41 eV/atom. Its space-group type is Cmmm, No. 65.

Cell: 2.868 2.868 7.409 Å, 90.00 90.00 107.74°
Sites, in units of the cell vectors:
W  0.500  0.500  0.250
P  0.500  0.500  0.750
Si  0.000  0.000  0.992
Si  0.000  0.000  0.508



(2)
## Na2ScAgF6 (PBE)

Data for an optimized crystal structure of Na2ScAgF6.

Results
Its final energy is -5.0517 eV per atom. As for the excess energy over the best structure of this formula in the dataset: 151.0 meV per atom. As for the crystal system: cubic. For the formation energy (no corrections), the calculation gives -2.75 eV/atom. Its space-group type is Fm-3m, No. 225.

Cell: 6.212 6.212 6.212 Å, 60.00 60.00 60.00°
Sites, in units of the cell vectors:
Sc  0.000  0.000  0.000
F  0.229  0.229  0.771
F  0.771  0.229  0.229
F  0.229  0.771  0.229
F  0.771  0.229  0.771
F  0.229  0.771  0.771
F  0.771  0.771  0.229
Na  0.250  0.250  0.250
Na  0.750  0.750  0.750
Ag  0.500  0.500  0.500



(3)
## Tl2PbAu (PBE)

Data for an optimized crystal structure of Tl2PbAu.

Results
Its final energy is -2.8999 eV per atom. The calculated formation energy comes out at 0.1 eV per formula unit. As for the crystal system: tetragonal. Its space-group type is P4/mmm, No. 123.

Cell: 3.775 3.775 7.627 Å, 90.00 90.00 90.00°
Sites, in units of the cell vectors:
Au  0.500  0.500  0.250
Pb  0.500  0.500  0.750
Tl  0.000  0.000  0.034
Tl  0.000  0.000  0.466



(4)
## ZnTc3C (PBE)

Data for an optimized crystal structure of ZnTc3C.

Results
Its final energy is -8.1210 eV per atom. As for the excess energy over the best structure of this formula in the dataset: 0.0 meV per atom. The calculated formation energy comes out at 1.0 eV per formula unit. As for the crystal system: cubic. Its space-group type is Pm-3m, No. 221.

Cell: 4.063 4.063 4.063 Å, 90.00 90.00 90.00°
Sites, in units of the cell vectors:
Tc  0.500  0.000  0.000
Tc  0.000  0.000  0.500
Tc  0.000  0.500  0.000
Zn  0.500  0.500  0.500
C  0.000  0.000  0.000



(5)
## EuGdZnBi (PBE)

Data for an optimized crystal structure of EuGdZnBi.

Results
Its final energy is -7.8241 eV per atom. The calculated formation energy comes out at -1.8 eV per formula unit. As for the crystal system: cubic. Its space-group type is F-43m, No. 216.

Cell: 5.429 5.429 5.429 Å, 60.00 60.00 60.00°
Sites, in units of the cell vectors:
Gd  0.250  0.250  0.250
Bi  0.500  0.500  0.500
Zn  0.000  0.000  0.000
Eu  0.750  0.750  0.750



(6)
## HfTi2CdC (PBE)

Data for an optimized crystal structure of HfTi2CdC.

Results
Its final energy is -7.6016 eV per atom. As for the excess energy over the best structure of this formula in the dataset: 0.0 meV per atom. The calculated formation energy comes out at -2.1 eV per formula unit. As for the crystal system: tetragonal. Its space-group type is P4/mmm, No. 123.

Cell: 4.273 4.273 4.476 Å, 90.00 90.00 90.00°
Sites, in units of the cell vectors:
Ti  0.000  0.500  0.000
Ti  0.500  0.000  0.000
C  0.000  0.000  0.000
Cd  0.500  0.500  0.500
Hf  0.000  0.000  0.500



(7)
## Ca2MgTeO6 (PBE)

Data for an optimized crystal structure of Ca2MgTeO6.

Results
Its final energy is -6.1657 eV per atom. As for the crystal system: monoclinic. For the formation energy (no corrections), the calculation gives -2.32 eV/atom. Its space-group type is P2_1/c, No. 14.

Cell: 5.492 5.629 7.825 Å, 90.00 89.82 90.00°
Sites, in units of the cell vectors:
O  0.786  0.804  0.545
O  0.808  0.783  0.949
O  0.214  0.196  0.455
O  0.308  0.717  0.449
O  0.408  0.969  0.740
O  0.092  0.469  0.760
O  0.692  0.283  0.551
O  0.908  0.531  0.240
O  0.286  0.696  0.045
O  0.192  0.217  0.051
O  0.592  0.031  0.260
O  0.714  0.304  0.955
Te  0.000  0.500  0.000
Te  0.500  0.000  0.500
Ca  0.512  0.549  0.752
Ca  0.988  0.049  0.748
Ca  0.012  0.951  0.252
Ca  0.488  0.451  0.248
Mg  0.000  0.500  0.500
Mg  0.500  0.000  0.000



(8)
## Pr5NdHo5 (PBE)

Data for an optimized crystal structure of Pr5NdHo5.

Results
Its final energy is -4.4124 eV per atom. As for the excess energy over the best structure of this formula in the dataset: 23.4 meV per atom. The calculated formation energy comes out at 3.0 eV per formula unit. As for the crystal system: hexagonal. Its space-group type is P-6m2, No. 187.

Cell: 6.163 6.163 11.869 Å, 90.00 90.00 120.00°
Sites, in units of the cell vectors:
Pr  0.667  0.333  0.155
Pr  0.667  0.333  0.845
Pr  0.333  0.667  0.319
Pr  0.333  0.667  0.681
Pr  0.000  0.000  0.000
Ho  0.333  0.166  0.500
Ho  0.000  0.000  0.267
Ho  0.000  0.000  0.733
Ho  0.834  0.667  0.500
Ho  0.834  0.166  0.500
Nd  0.333  0.667  0.000



(9)
## RhI3Cl (PBE)

Data for an optimized crystal structure of RhI3Cl.

Results
Its final energy is -2.5247 eV per atom. As for the excess energy over the best structure of this formula in the dataset: 0.0 meV per atom. As for the crystal system: cubic. For the formation energy (no corrections), the calculation gives 0.25 eV/atom. Its space-group type is Pm-3m, No. 221.

Cell: 5.397 5.397 5.397 Å, 90.00 90.00 90.00°
Sites, in units of the cell vectors:
Rh  0.000  0.000  0.000
Cl  0.500  0.500  0.500
I  0.000  0.500  0.000
I  0.500  0.000  0.000
I  0.000  0.000  0.500



(10)
## Pm7Cd2Co2 (PBE)

Data for an optimized crystal structure of Pm7Cd2Co2.

Results
Its final energy is -4.5636 eV per atom. The calculated formation energy comes out at -0.9 eV per formula unit. As for the crystal system: orthorhombic. Its space-group type is Cmmm, No. 65.

Cell: 6.879 7.227 6.879 Å, 90.00 109.74 90.00°
Sites, in units of the cell vectors:
Pm  0.000  0.000  0.000
Pm  0.000  0.755  0.500
Pm  0.500  0.234  0.500
Pm  0.500  0.245  0.000
Pm  0.000  0.245  0.500
Pm  0.500  0.755  0.000
Pm  0.500  0.766  0.500
Co  0.706  0.000  0.294
Co  0.294  0.000  0.706
Cd  0.175  0.500  0.175
Cd  0.825  0.500  0.825



(11)
## CaAlCuAg (PBE)

Data for an optimized crystal structure of CaAlCuAg.

Results
Its final energy is -3.3096 eV per atom. The calculated formation energy comes out at -0.5 eV per formula unit. As for the crystal system: cubic. Its space-group type is F-43m, No. 216.

Cell: 4.755 4.755 4.755 Å, 60.00 60.00 60.00°
Sites, in units of the cell vectors:
Cu  0.500  0.500  0.500
Ag  0.000  0.000  0.000
Al  0.750  0.750  0.750
Ca  0.250  0.250  0.250



(12)
## BH4I2 (PBE)

Data for an optimized crystal structure of BH4I2.

Results
Its final energy is -3.0377 eV per atom. As for the excess energy over the best structure of this formula in the dataset: 48.1 meV per atom. As for the crystal system: monoclinic. Its space-group type is Cm, No. 8.

Cell: 5.236 5.236 6.845 Å, 125.36 111.63 76.21°
Sites, in units of the cell vectors:
B  0.044  0.868  0.911
H  0.936  0.118  0.054
H  0.107  0.139  0.000
H  0.239  0.731  0.970
H  0.860  0.892  0.000
I  0.146  0.865  0.532
I  0.667  0.386  0.532



(13)
## Mg4ZnAu3 (PBE)

Data for an optimized crystal structure of Mg4ZnAu3.

Results
Its final energy is -2.6709 eV per atom. The calculated formation energy comes out at -3.9 eV per formula unit. As for the crystal system: tetragonal. Its space-group type is P4/mmm, No. 123.

Cell: 3.291 3.291 13.353 Å, 90.00 90.00 90.00°
Sites, in units of the cell vectors:
Zn  0.500  0.500  0.000
Au  0.500  0.500  0.749
Au  0.500  0.500  0.251
Au  0.500  0.500  0.500
Mg  0.000  0.000  0.868
Mg  0.000  0.000  0.132
Mg  0.000  0.000  0.624
Mg  0.000  0.000  0.376



(14)
## Bi4I2Br5 (PBE)

Data for an optimized crystal structure of Bi4I2Br5.

Results
Its final energy is -2.8122 eV per atom. As for the crystal system: monoclinic. For the formation energy (no corrections), the calculation gives -0.36 eV/atom. Its space-group type is C2/m, No. 12.

Cell: 7.142 8.367 9.414 Å, 81.56 67.71 64.73°
Sites, in units of the cell vectors:
Br  0.854  0.761  0.041
Br  0.343  0.761  0.041
Br  0.146  0.239  0.959
Br  0.657  0.239  0.959
Br  0.000  0.500  0.500
Bi  0.606  0.085  0.703
Bi  0.394  0.915  0.297
Bi  0.249  0.310  0.192
Bi  0.751  0.690  0.808
I  0.185  0.990  0.639
I  0.815  0.010  0.361



(15)
## Rb2BeAsO4 (PBE)

Data for an optimized crystal structure of Rb2BeAsO4.

Results
Its final energy is -5.3763 eV per atom. As for the crystal system: orthorhombic. For the formation energy (no corrections), the calculation gives -1.61 eV/atom. Its space-group type is Fddd, No. 70.

Cell: 4.847 6.577 10.605 Å, 85.17 76.79 68.37°
Sites, in units of the cell vectors:
As  0.250  0.500  0.500
As  0.500  0.000  0.000
Rb  0.828  0.000  0.345
Rb  0.578  0.500  0.845
Rb  0.172  0.000  0.655
Rb  0.922  0.500  0.155
O  0.658  0.155  0.084
O  0.492  0.655  0.416
O  0.258  0.845  0.084
O  0.092  0.345  0.416
O  0.897  0.845  0.916
O  0.853  0.655  0.584
O  0.563  0.345  0.584
O  0.187  0.155  0.916
Be  0.000  0.000  0.000
Be  0.750  0.500  0.500



(16)
## Hf3CdRe (PBE)

Data for an optimized crystal structure of Hf3CdRe.

Results
Its final energy is -8.0621 eV per atom. As for the excess energy over the best structure of this formula in the dataset: 0.0 meV per atom. The calculated formation energy comes out at 2.9 eV per formula unit. As for the crystal system: cubic. Its space-group type is Pm-3m, No. 221.

Cell: 5.049 5.049 5.049 Å, 90.00 90.00 90.00°
Sites, in units of the cell vectors:
Cd  0.500  0.500  0.500
Hf  0.500  0.000  0.000
Hf  0.000  0.000  0.500
Hf  0.000  0.500  0.000
Re  0.000  0.000  0.000



(17)
## TaNbH2 (PBE)

Data for an optimized crystal structure of TaNbH2.

Results
Its final energy is -6.6317 eV per atom. As for the excess energy over the best structure of this formula in the dataset: 726.3 meV per atom. As for the crystal system: cubic. Its space-group type is Fm-3m, No. 225.

Cell: 3.924 3.924 3.924 Å, 60.00 60.00 60.00°
Sites, in units of the cell vectors:
Nb  0.000  0.000  0.000
H  0.750  0.750  0.750
H  0.250  0.250  0.250
Ta  0.500  0.500  0.500